Ho3Ir | GGA-PBE | relaxed

The symmetry is No. 86. The energy of formation comes out at -0.536 eV/atom.

abc: 6.2659 11.5072 11.5072
angles: 90.00 90.00 90.00
With the nearest neighbours (Å) after each atom.
Fractional positions:
1 Ho 0.7760 0.4435 0.6336  3 Ir 2.80-3.13
2 Ho 0.9432 0.1353 0.5848  2 Ir 2.90-3.24
3 Ho 0.2240 0.6336 0.5565  3 Ir 2.80-3.13
4 Ho 0.9518 0.1567 0.2844  2 Ir 2.77-2.83
5 Ho 0.7760 0.5565 0.3664  3 Ir 2.80-3.13
6 Ho 0.4518 0.7844 0.3433  2 Ir 2.77-2.83
7 Ho 0.9432 0.8647 0.4152  2 Ir 2.90-3.24
8 Ho 0.5482 0.6567 0.7844  2 Ir 2.77-2.83
9 Ho 0.2760 0.8664 0.9435  3 Ir 2.80-3.13
10 Ho 0.0482 0.2844 0.8433  2 Ir 2.77-2.83
11 Ho 0.5568 0.6353 0.0848  2 Ir 2.90-3.24
12 Ho 0.7240 0.0565 0.8664  3 Ir 2.80-3.13
13 Ho 0.0482 0.7156 0.1567  2 Ir 2.77-2.83
14 Ho 0.2240 0.3664 0.4435  3 Ir 2.80-3.13
15 Ho 0.5568 0.3647 0.9152  2 Ir 2.90-3.24
16 Ho 0.0568 0.5848 0.8647  2 Ir 2.90-3.24
17 Ho 0.0568 0.4152 0.1353  2 Ir 2.90-3.24
18 Ho 0.4432 0.0848 0.3647  2 Ir 2.90-3.24
19 Ho 0.4432 0.9152 0.6353  2 Ir 2.90-3.24
20 Ho 0.9518 0.8433 0.7156  2 Ir 2.77-2.83
21 Ho 0.5482 0.3433 0.2156  2 Ir 2.77-2.83
22 Ho 0.4518 0.2156 0.6567  2 Ir 2.77-2.83
23 Ho 0.7240 0.9435 0.1336  3 Ir 2.80-3.13
24 Ho 0.2760 0.1336 0.0565  3 Ir 2.80-3.13
25 Ir 0.7384 0.6955 0.5649  5 Ho 2.77-3.02
26 Ir 0.7616 0.1955 0.0649  5 Ho 2.77-3.02
27 Ir 0.2616 0.4351 0.6955  5 Ho 2.77-3.02
28 Ir 0.2384 0.9351 0.1955  5 Ho 2.77-3.02
29 Ir 0.7384 0.3045 0.4351  5 Ho 2.77-3.02
30 Ir 0.2616 0.5649 0.3045  5 Ho 2.77-3.02
31 Ir 0.2384 0.0649 0.8045  5 Ho 2.77-3.02
32 Ir 0.7616 0.8045 0.9351  5 Ho 2.77-3.02